# 1
Material: Dy2Tl3InSe6
Method: DFT, GGA-PBE
State: optimized geometry

Results
Total magnetization, Bohr magnetons per cell: 0.00
V, Å³ per cell: 699.3
Formation energy without anion corrections, kJ/mol of formula units: -1235

Cell lengths 7.2062, 12.4688, 8.1484 Å; angles 90.00, 107.22, 90.00 degrees
Space group C2/m (No. 12)
One atom of each set of equivalent atoms:
Dy 0.0000 0.1661 0.0000 x4
Tl 0.0000 0.0000 0.5000 x2
Tl 0.0000 0.3296 0.5000 x4
In 0.0000 0.5000 0.0000 x2
Se 0.2302 0.3369 0.2014 x8
Se 0.2412 0.0000 0.2060 x4



# 2
Material: Ga2AsPd5
Method: DFT, GGA-PBE
State: optimized geometry

Results
Total magnetization, Bohr magnetons per cell: 0.00
Energy of formation, eV per formula unit: -2.38
Energy above the most stable polymorph in this dataset, eV/atom: 0.2038
V, Å³ per cell: 547.8

Cell lengths 2.8442, 14.9741, 12.8632 Å; angles 90.00, 90.00, 90.00 degrees
Space group Cmcm (No. 63)
One atom of each set of equivalent atoms:
Ga 0.0000 0.1267 0.0521 x8
As 0.0000 0.1375 0.7500 x4
Pd 0.0000 0.0306 0.6082 x8
Pd 0.0000 0.1351 0.2500 x4
Pd 0.0000 0.2370 0.6004 x8



# 3
Material: ScUGa2O8
Method: DFT, GGA-PBE
State: optimized geometry

Results
Total magnetization, Bohr magnetons per cell: 1.88
V, Å³ per cell: 304.9
Formation energy without anion corrections, kJ/mol of formula units: -2698

Cell lengths 6.7506, 6.7506, 6.6906 Å; angles 90.00, 90.00, 90.00 degrees
Space group I-4m2 (No. 119)
One atom of each set of equivalent atoms:
Sc 0.0000 0.0000 0.0000 x2
U 0.0000 0.5000 0.2500 x2
Ga 0.0000 0.0000 0.5000 x2
Ga 0.0000 0.5000 0.7500 x2
O 0.0000 0.1967 0.3095 x8
O 0.0000 0.3071 0.9468 x8



# 4
Material: Er4SbAsSe2
Method: DFT, GGA-PBE
State: optimized geometry

Results
Total magnetization, Bohr magnetons per cell: 0.00
V, Å³ per cell: 200.2
Formation energy without anion corrections, kJ/mol of formula units: -1174

Cell lengths 7.1208, 4.1390, 7.2111 Å; angles 90.00, 109.61, 90.00 degrees
Space group P2/m (No. 10)
One atom of each set of equivalent atoms:
Er 0.2443 0.0000 0.2362 x2
Er 0.2542 0.5000 0.7651 x2
Sb 0.0000 0.0000 0.5000 x1
As 0.0000 0.5000 0.0000 x1
Se 0.5000 0.0000 0.0000 x1
Se 0.5000 0.5000 0.5000 x1



# 5
Material: TaCd2Mo
Method: DFT, GGA-PBE
State: optimized geometry

Results
Total magnetization, Bohr magnetons per cell: 0.00
Energy of formation, eV per formula unit: 1.50
Energy above the most stable polymorph in this dataset, eV/atom: 0.1951
V, Å³ per cell: 75.2

Cell lengths 2.7936, 4.4080, 6.1094 Å; angles 90.00, 90.00, 90.00 degrees
Space group Pmm2 (No. 25)
One atom of each set of equivalent atoms:
Ta 0.0000 0.0000 0.0000 x1
Cd 0.0000 0.0000 0.5218 x1
Cd 0.5000 0.5000 0.2726 x1
Mo 0.5000 0.5000 0.7898 x1



# 6
Material: RbIn2HgRu
Method: DFT, GGA-PBE
State: optimized geometry

Results
Total magnetization, Bohr magnetons per cell: 0.00
Energy of formation, eV per formula unit: -0.29
Energy above the most stable polymorph in this dataset, eV/atom: 0.0000
V, Å³ per cell: 148.9

Cell lengths 5.2129, 5.2129, 5.4781 Å; angles 90.00, 90.00, 90.00 degrees
Space group P4/mmm (No. 123)
One atom of each set of equivalent atoms:
Rb 0.0000 0.0000 0.0000 x1
In 0.0000 0.5000 0.5000 x2
Hg 0.5000 0.5000 0.0000 x1
Ru 0.5000 0.5000 0.5000 x1